[1]
Material: YPbNF2
Method: DFT, PBE
State: optimized geometry

Geometry as POSCAR:
```
YPbNF2
1.0
4.365 0.000 0.000
0.000 4.365 0.000
0.000 0.000 4.687
Y Pb N F
1 1 1 2
Direct
0.000 0.000 0.000
0.500 0.500 0.500
0.000 0.000 0.500
0.000 0.500 0.000
0.500 0.000 0.000
```

Results
V, A^3/atom: 17.86
Space-group type: P4/mmm
Uncorrected formation energy, meV/atom: -1838
Energy, eV/atom: -6.286
D(E_F), states/eV per atom: 0.22

=====

[2]
Material: YPbNF2
Method: DFT, PBE
State: optimized geometry

Geometry as POSCAR:
```
YPbNF2
1.0
4.574 0.000 0.000
0.000 4.574 0.000
0.000 0.000 4.495
Y Pb N F
1 1 1 2
Direct
0.000 0.000 0.000
0.500 0.500 0.500
0.500 0.500 0.000
0.000 0.500 0.500
0.500 0.000 0.500
```

Results
V, A^3/atom: 18.81
Space-group type: P4/mmm
Uncorrected formation energy, meV/atom: -871
Energy, eV/atom: -5.319
D(E_F), states/eV per atom: 0.39

=====

[3]
Material: ZnPbN2F
Method: DFT, PBE
State: optimized geometry

Geometry as POSCAR:
```
ZnPbN2F
1.0
4.431 0.000 0.000
0.000 4.431 0.000
0.000 0.000 4.435
Zn Pb N F
1 1 2 1
Direct
0.000 0.000 0.000
0.500 0.500 0.500
0.000 0.500 0.500
0.500 0.000 0.500
0.500 0.500 0.000
```

Results
V, A^3/atom: 17.42
Space-group type: P4/mmm
Uncorrected formation energy, meV/atom: 969
Energy, eV/atom: -3.732
D(E_F), states/eV per atom: 0.38

=====

[4]
Material: ZnPbN2F
Method: DFT, PBE
State: optimized geometry

Geometry as POSCAR:
```
ZnPbN2F
1.0
4.001 0.000 0.000
0.000 4.001 0.000
0.000 0.000 4.316
Zn Pb N F
1 1 2 1
Direct
0.000 0.000 0.000
0.500 0.500 0.500
0.000 0.500 0.000
0.500 0.000 0.000
0.000 0.000 0.500
```

Results
V, A^3/atom: 13.82
Space-group type: P4/mmm
Uncorrected formation energy, meV/atom: 397
Energy, eV/atom: -4.304
D(E_F), states/eV per atom: 0.55